# 1
6
Lattice="3.256 0.000 0.000 0.624 6.740 0.000 0.004 2.801 6.491" Properties=species:S:1:pos:R:3 comment="SiCBr PBE-GGA relaxed" mass_density_g_cm3=2.8 volume_a3_per_atom=23.74 total_magnetization_mub_per_fu=0.00 e_form_raw_ev_per_atom=0.2565 pbc="T T T"
Si 0.000 0.000 0.000
Si 0.625 7.766 3.038
C 1.629 1.198 1.983
C 1.628 0.613 0.705
Br 0.634 4.515 0.126
Br 3.261 3.269 4.150

# 2
5
Lattice="5.117 0.000 0.000 0.000 5.117 0.000 0.000 0.000 5.117" Properties=species:S:1:pos:R:3 comment="SiCBr3 PBE-GGA relaxed" mass_density_g_cm3=3.5 volume_a3_per_atom=26.79 total_magnetization_mub_per_fu=1.61 e_form_raw_ev_per_atom=1.3025 pbc="T T T"
Si 0.000 0.000 0.000
C 2.558 2.558 2.558
Br 0.000 0.000 2.558
Br 0.000 2.558 0.000
Br 2.558 0.000 0.000

# 3
8
Lattice="6.999 0.000 0.000 0.000 3.978 0.000 -2.326 0.000 7.315" Properties=species:S:1:pos:R:3 comment="Sm4SiCBr2 PBE-GGA relaxed" mass_density_g_cm3=6.5 volume_a3_per_atom=25.46 total_magnetization_mub_per_fu=0.00 e_form_raw_ev_per_atom=-0.9498 pbc="T T T"
Sm 1.016 0.000 1.367
Sm -0.200 1.989 5.873
Sm 4.873 1.989 1.442
Sm 3.657 0.000 5.949
Si 3.500 0.000 0.000
C 0.000 1.989 0.000
Br -1.163 0.000 3.658
Br 2.336 1.989 3.658

# 4
12
Lattice="9.276 -1.950 0.000 9.276 1.950 0.000 -2.913 0.000 8.126" Properties=species:S:1:pos:R:3 comment="Sm6SiC2Br3 PBE-GGA relaxed" mass_density_g_cm3=6.7 volume_a3_per_atom=24.50 total_magnetization_mub_per_fu=0.00 e_form_raw_ev_per_atom=-0.9388 pbc="T T T"
Sm -0.231 0.000 2.025
Sm 4.559 0.000 3.658
Sm 3.715 0.000 6.965
Sm 11.924 0.000 1.162
Sm 11.080 0.000 4.468
Sm 15.870 0.000 6.102
Si 9.276 0.000 0.000
C 2.179 0.000 2.758
C 13.460 0.000 5.368
Br 0.636 0.000 6.748
Br 7.819 0.000 4.063
Br 15.003 0.000 1.378

# 5
5
Lattice="4.853 0.000 0.000 0.000 4.853 0.000 0.000 0.000 3.606" Properties=species:S:1:pos:R:3 comment="SiTcCBr2 PBE-GGA relaxed" mass_density_g_cm3=5.8 volume_a3_per_atom=16.99 total_magnetization_mub_per_fu=0.00 e_form_raw_ev_per_atom=1.6554 pbc="T T T"
Si 0.000 0.000 0.000
Tc 2.426 2.426 0.000
C 0.000 0.000 1.803
Br 0.000 2.426 1.803
Br 2.426 0.000 1.803

# 6
5
Lattice="4.844 0.000 0.000 0.000 4.844 0.000 0.000 0.000 3.580" Properties=species:S:1:pos:R:3 comment="Ti2SiCBr PBE-GGA relaxed" mass_density_g_cm3=4.3 volume_a3_per_atom=16.80 total_magnetization_mub_per_fu=0.84 e_form_raw_ev_per_atom=0.6550 pbc="T T T"
Ti 0.000 2.422 0.000
Ti 2.422 0.000 0.000
Si 0.000 0.000 0.000
C 0.000 0.000 1.790
Br 2.422 2.422 1.790